## Zn2CdAg (GGA-PBEsol)

Data for Zn2CdAg after structural relaxation.

## Properties
Density of states at the Fermi level, states/eV/f.u.: 0.8
Space-group type: P4/mmm, No. 123
M_tot, μB per cell: 0.00
Calculated formation energy, meV per atom: 21.7

a b c (Å): 3.1946 3.1946 6.3125
angles (deg): 90.00 90.00 90.00
Closest atoms and distances in Å follow each position.
Sites, in units of the cell vectors:
Zn 0.0000 0.0000 0.7696  4 Ag 2.69, 4 Cd 2.83, 1 Zn 2.91
Zn 0.0000 0.0000 0.2304  4 Ag 2.69, 4 Cd 2.83, 1 Zn 2.91
Ag 0.5000 0.5000 0.0000  8 Zn 2.69
Cd 0.5000 0.5000 0.5000  8 Zn 2.83, 2 Ag 3.16



## ZnCdAg (GGA-PBEsol)

Data for ZnCdAg after structural relaxation.

## Properties
Density of states at the Fermi level, states/eV/f.u.: 0.7
Space-group type: P3m1, No. 156
M_tot, μB per cell: 0.00
Calculated formation energy, meV per atom: -8.9

a b c (Å): 2.8555 4.5261 4.5261
angles (deg): 120.00 90.00 90.00
Closest atoms and distances in Å follow each position.
Sites, in units of the cell vectors:
Zn 0.2327 0.3333 0.6667  3 Ag 2.63, 2 Zn 2.86, 3 Cd 2.87
Ag 0.1184 0.0000 0.0000  3 Zn 2.63, 2 Ag 2.86, 3 Cd 2.94
Cd 0.6489 0.6667 0.3333  2 Cd 2.86, 6 Zn 2.87-3.10, 6 Ag 2.94-3.02